Record 1
# PBE-GGA LiCd2Cl, optimized geometry
# Offset from the most stable computed form   0.324 eV/atom
# Formation energy without anion corrections   -0.36 eV/atom
# Final energy   -7.0 eV/cell
# Magnetic moment   0.00 μB per cell
data_LiCd2Cl
_chemical_formula_sum 'Li1 Cd2 Cl1'
_symmetry_space_group_name_H-M 'P m m m'
_symmetry_Int_Tables_number 47
_cell_length_a 3.607
_cell_length_b 5.347
_cell_length_c 5.457
_cell_angle_alpha 90.00
_cell_angle_beta 90.00
_cell_angle_gamma 90.00
loop_
_symmetry_equiv_pos_as_xyz
'x,y,z'
'-x,-y,-z'
'-x,-y,z'
'x,y,-z'
'x,-y,-z'
'-x,y,z'
'-x,y,-z'
'x,-y,z'
loop_
_atom_site_label
_atom_site_type_symbol
_atom_site_fract_x
_atom_site_fract_y
_atom_site_fract_z
Li1 Li 0.000 0.000 0.000
Cd1 Cd 0.500 0.254 0.500
Cl1 Cl 0.000 0.500 0.000



Record 2
# PBE-GGA Zn2CuRu, optimized geometry
# Final energy   -15.6 eV/cell
# ΔH_f (0 K)   0.090 eV per atom
# Magnetic moment   0.00 μB per cell
data_Zn2CuRu
_chemical_formula_sum 'Zn2 Cu1 Ru1'
_symmetry_space_group_name_H-M 'P 4 m m'
_symmetry_Int_Tables_number 99
_cell_length_a 3.114
_cell_length_b 3.114
_cell_length_c 5.612
_cell_angle_alpha 90.00
_cell_angle_beta 90.00
_cell_angle_gamma 90.00
loop_
_symmetry_equiv_pos_as_xyz
'x,y,z'
'-y,x,z'
'-x,-y,z'
'y,-x,z'
'-x,y,z'
'y,x,z'
'x,-y,z'
'-y,-x,z'
loop_
_atom_site_label
_atom_site_type_symbol
_atom_site_fract_x
_atom_site_fract_y
_atom_site_fract_z
Zn1 Zn 0.000 0.000 0.000
Zn2 Zn 0.500 0.500 0.272
Cu1 Cu 0.000 0.000 0.504
Ru1 Ru 0.500 0.500 0.760



Record 3
# PBE-GGA Hf2Zr5Bi5, optimized geometry
# Final energy   -170.0 eV/cell
# ΔH_f (0 K)   -0.244 eV per atom
# Magnetic moment   0.00 μB per cell
data_Hf2Zr5Bi5
_chemical_formula_sum 'Hf4 Zr10 Bi10'
_symmetry_space_group_name_H-M 'C 1 2/m 1'
_symmetry_Int_Tables_number 12
_cell_length_a 14.751
_cell_length_b 3.981
_cell_length_c 11.047
_cell_angle_alpha 90.00
_cell_angle_beta 114.68
_cell_angle_gamma 90.00
loop_
_symmetry_equiv_pos_as_xyz
'x,y,z'
'-x,-y,-z'
'-x,y,-z'
'x,-y,z'
'x+1/2,y+1/2,z'
'-x+1/2,-y+1/2,-z'
'-x+1/2,y+1/2,-z'
'x+1/2,-y+1/2,z'
loop_
_atom_site_label
_atom_site_type_symbol
_atom_site_fract_x
_atom_site_fract_y
_atom_site_fract_z
Hf1 Hf 0.072 0.000 0.253
Zr1 Zr 0.000 0.500 0.000
Zr2 Zr 0.099 0.500 0.753
Zr3 Zr 0.163 0.500 0.496
Bi1 Bi 0.000 0.000 0.500
Bi2 Bi 0.145 0.000 0.980
Bi3 Bi 0.238 0.500 0.270



Record 4
# PBE-GGA Pu4GePd2, optimized geometry
# Final energy   -297.7 eV/cell
# ΔH_f (0 K)   -0.300 eV per atom
# Magnetic moment   92.00 μB per cell
data_Pu4GePd2
_chemical_formula_sum 'Pu16 Ge4 Pd8'
_symmetry_space_group_name_H-M 'I -4 2 d'
_symmetry_Int_Tables_number 122
_symmetry_space_group_name_Hall 'I -4 2bw'
_cell_length_a 8.814
_cell_length_b 8.814
_cell_length_c 8.674
_cell_angle_alpha 90.00
_cell_angle_beta 90.00
_cell_angle_gamma 90.00
loop_
_atom_site_label
_atom_site_type_symbol
_atom_site_fract_x
_atom_site_fract_y
_atom_site_fract_z
Pu1 Pu 0.073 0.175 0.299
Ge1 Ge 0.000 0.000 0.000
Pd1 Pd 0.122 0.250 0.625



Record 5
# PBE-GGA YMg2TlN, optimized geometry
# Formation energy without anion corrections   -0.57 eV/atom
# Final energy   -23.2 eV/cell
# Magnetic moment   0.00 μB per cell
data_YMg2TlN
_chemical_formula_sum 'Y1 Mg2 Tl1 N1'
_symmetry_space_group_name_H-M 'P 4/m m m'
_symmetry_Int_Tables_number 123
_symmetry_space_group_name_Hall '-P 4 2'
_cell_length_a 4.490
_cell_length_b 4.490
_cell_length_c 4.760
_cell_angle_alpha 90.00
_cell_angle_beta 90.00
_cell_angle_gamma 90.00
loop_
_atom_site_label
_atom_site_type_symbol
_atom_site_fract_x
_atom_site_fract_y
_atom_site_fract_z
Y1 Y 0.000 0.000 0.000
Mg1 Mg 0.000 0.500 0.500
Tl1 Tl 0.500 0.500 0.000
N1 N 0.000 0.000 0.500



Record 6
# PBE-GGA BaTa4Al, optimized geometry
# Final energy   -194.0 eV/cell
# ΔH_f (0 K)   0.763 eV per atom
# Magnetic moment   0.00 μB per cell
data_BaTa4Al
_chemical_formula_sum 'Ba4 Ta16 Al4'
_symmetry_space_group_name_H-M 'F -4 3 m'
_symmetry_Int_Tables_number 216
_symmetry_space_group_name_Hall 'F -4 2 3'
_cell_length_a 8.084
_cell_length_b 8.084
_cell_length_c 8.084
_cell_angle_alpha 90.00
_cell_angle_beta 90.00
_cell_angle_gamma 90.00
loop_
_atom_site_label
_atom_site_type_symbol
_atom_site_fract_x
_atom_site_fract_y
_atom_site_fract_z
Ba1 Ba 0.000 0.000 0.000
Ta1 Ta 0.126 0.126 0.626
Al1 Al 0.250 0.250 0.250



Record 7
# PBE-GGA Cr4SnSe8, optimized geometry
# Formation energy without anion corrections   -0.47 eV/atom
# Final energy   -229.6 eV/cell
# Magnetic moment   30.71 μB per cell
data_Cr4SnSe8
_chemical_formula_sum 'Cr12 Sn3 Se24'
_symmetry_space_group_name_H-M 'R -3 m'
_symmetry_Int_Tables_number 166
_symmetry_space_group_name_Hall '-R 3 2"'
_cell_length_a 7.1919
_cell_length_b 7.1919
_cell_length_c 21.0353
_cell_angle_alpha 90.00
_cell_angle_beta 90.00
_cell_angle_gamma 120.00
loop_
_atom_site_label
_atom_site_type_symbol
_atom_site_fract_x
_atom_site_fract_y
_atom_site_fract_z
Cr1 Cr 0.0000 0.0000 0.0000
Cr2 Cr 0.0000 0.5000 0.0000
Sn1 Sn 0.0000 0.0000 0.5000
Se1 Se 0.0000 0.0000 0.2651
Se2 Se 0.0009 0.5005 0.2651



Record 8
# PBE-GGA K4La3PaTe8, optimized geometry
# Formation energy without anion corrections   -1.34 eV/atom
# Final energy   -225.7 eV/cell
# Magnetic moment   5.77 μB per cell
data_K4La3PaTe8
_chemical_formula_sum 'K12 La9 Pa3 Te24'
_symmetry_space_group_name_H-M 'R -3 m'
_symmetry_Int_Tables_number 166
_symmetry_space_group_name_Hall '-R 3 2"'
_cell_length_a 9.3189
_cell_length_b 9.3189
_cell_length_c 24.7587
_cell_angle_alpha 90.00
_cell_angle_beta 90.00
_cell_angle_gamma 120.00
loop_
_atom_site_label
_atom_site_type_symbol
_atom_site_fract_x
_atom_site_fract_y
_atom_site_fract_z
K1 K 0.0000 0.0000 0.0000
K2 K 0.0000 0.5000 0.0000
La1 La 0.0000 0.5000 0.5000
Pa1 Pa 0.0000 0.0000 0.5000
Te1 Te 0.0000 0.0000 0.2396
Te2 Te 0.0092 0.5046 0.2384



Record 9
# PBE-GGA AcDyHfN3, optimized geometry
# Formation energy without anion corrections   -1.24 eV/atom
# Final energy   -102.2 eV/cell
# Magnetic moment   0.00 μB per cell
data_AcDyHfN3
_chemical_formula_sum 'Ac2 Dy2 Hf2 N6'
_symmetry_space_group_name_H-M 'P 1 21/m 1'
_symmetry_Int_Tables_number 11
_cell_length_a 6.743
_cell_length_b 3.473
_cell_length_c 10.018
_cell_angle_alpha 90.00
_cell_angle_beta 96.98
_cell_angle_gamma 90.00
loop_
_symmetry_equiv_pos_as_xyz
'x,y,z'
'-x,-y,-z'
'-x,y+1/2,-z'
'x,-y+1/2,z'
loop_
_atom_site_label
_atom_site_type_symbol
_atom_site_fract_x
_atom_site_fract_y
_atom_site_fract_z
Ac1 Ac 0.197 0.250 0.231
Dy1 Dy 0.343 0.750 0.885
Hf1 Hf 0.164 0.250 0.587
N1 N 0.125 0.250 0.789
N2 N 0.153 0.750 0.467
N3 N 0.390 0.750 0.112



Record 10
# PBE-GGA YZrRe2, optimized geometry
# Offset from the most stable computed form   0.429 eV/atom
# Final energy   -114.5 eV/cell
# ΔH_f (0 K)   0.433 eV per atom
# Magnetic moment   0.00 μB per cell
data_YZrRe2
_chemical_formula_sum 'Y3 Zr3 Re6'
_symmetry_space_group_name_H-M 'R -3 m'
_symmetry_Int_Tables_number 166
_symmetry_space_group_name_Hall '-R 3 2"'
_cell_length_a 3.1755
_cell_length_b 3.1755
_cell_length_c 26.6775
_cell_angle_alpha 90.00
_cell_angle_beta 90.00
_cell_angle_gamma 120.00
loop_
_atom_site_label
_atom_site_type_symbol
_atom_site_fract_x
_atom_site_fract_y
_atom_site_fract_z
Y1 Y 0.0000 0.0000 0.0000
Zr1 Zr 0.0000 0.0000 0.5000
Re1 Re 0.0000 0.0000 0.2453



Record 11
# PBE-GGA KTe2W, optimized geometry
# Offset from the most stable computed form   0.321 eV/atom
# Formation energy without anion corrections   0.27 eV/atom
# Final energy   -19.3 eV/cell
# Magnetic moment   0.00 μB per cell
data_KTe2W
_chemical_formula_sum 'K1 Te2 W1'
_symmetry_space_group_name_H-M 'P 1 2/m 1'
_symmetry_Int_Tables_number 10
_cell_length_a 3.094
_cell_length_b 4.303
_cell_length_c 8.126
_cell_angle_alpha 90.00
_cell_angle_beta 95.59
_cell_angle_gamma 90.00
loop_
_symmetry_equiv_pos_as_xyz
'x,y,z'
'-x,-y,-z'
'-x,y,-z'
'x,-y,z'
loop_
_atom_site_label
_atom_site_type_symbol
_atom_site_fract_x
_atom_site_fract_y
_atom_site_fract_z
K1 K 0.000 0.000 0.000
Te1 Te 0.401 0.500 0.708
W1 W 0.500 0.000 0.500



Record 12
# PBE-GGA InAuI2, optimized geometry
# Offset from the most stable computed form   0.312 eV/atom
# Formation energy without anion corrections   0.09 eV/atom
# Final energy   -35.0 eV/cell
# Magnetic moment   0.00 μB per cell
data_InAuI2
_chemical_formula_sum 'In4 Au4 I8'
_symmetry_space_group_name_H-M 'F m -3 m'
_symmetry_Int_Tables_number 225
_symmetry_space_group_name_Hall '-F 4 2 3'
_cell_length_a 7.854
_cell_length_b 7.854
_cell_length_c 7.854
_cell_angle_alpha 90.00
_cell_angle_beta 90.00
_cell_angle_gamma 90.00
loop_
_atom_site_label
_atom_site_type_symbol
_atom_site_fract_x
_atom_site_fract_y
_atom_site_fract_z
In1 In 0.000 0.000 0.000
Au1 Au 0.000 0.000 0.500
I1 I 0.250 0.250 0.250